Record 1
Eu2Al4O9 | the Alexandria database | PBE | relaxed; energy relative to the elements, uncorrected = -2.86 eV per atom; density of states at the Fermi level = 0.902 states/eV per atom
1.0
7.532 0.000 0.000
0.000 8.455 0.000
0.000 0.000 5.750
Eu Al O
4 8 18
Cartesian
1.198 1.581 0.000
2.568 5.809 0.000
4.964 2.647 0.000
6.335 6.874 0.000
0.000 4.228 1.480
0.000 4.228 4.270
1.037 7.074 2.875
2.729 2.847 2.875
3.766 0.000 1.480
3.766 0.000 4.270
4.803 5.609 2.875
6.495 1.381 2.875
0.000 0.000 2.875
0.733 6.066 1.431
0.733 6.066 4.320
1.125 3.618 2.875
1.202 3.834 0.000
2.565 8.062 0.000
2.641 7.846 2.875
3.033 1.838 1.431
3.033 1.838 4.320
3.766 4.228 2.875
4.499 6.617 1.431
4.499 6.617 4.320
4.891 0.610 2.875
4.968 0.393 0.000
6.331 4.621 0.000
6.407 4.837 2.875
6.799 2.390 1.431
6.799 2.390 4.320

***

Record 2
Eu2Al3O8 | the Alexandria database | PBE | relaxed; energy relative to the elements, uncorrected = -2.76 eV per atom; density of states at the Fermi level = 0.293 states/eV per atom
1.0
-4.487 4.487 4.487
4.487 -4.487 4.487
4.487 4.487 -4.487
Eu Al O
4 6 16
Cartesian
1.324 1.324 -1.324
1.324 -1.324 1.324
-1.324 1.324 1.324
3.163 3.163 3.163
4.487 2.244 0.000
4.487 0.000 2.244
2.244 4.487 0.000
2.244 0.000 4.487
0.000 4.487 2.244
0.000 2.244 4.487
3.549 3.549 -3.549
3.717 1.249 -1.249
3.717 -1.249 1.249
3.549 -3.549 3.549
0.938 0.938 0.938
1.249 3.717 -1.249
1.249 -1.249 3.717
5.258 1.249 1.249
3.238 3.238 0.770
3.238 0.770 3.238
-1.249 3.717 1.249
-1.249 1.249 3.717
0.770 3.238 3.238
1.249 5.258 1.249
1.249 1.249 5.258
-3.549 3.549 3.549

***

Record 3
Eu3Al2O7 | the Alexandria database | PBE | relaxed; energy relative to the elements, uncorrected = -2.98 eV per atom; density of states at the Fermi level = 1.640 states/eV per atom
1.0
-1.876 1.876 9.905
1.876 -1.876 9.905
1.876 1.876 -9.905
Eu Al O
3 2 7
Cartesian
0.000 0.000 0.000
0.000 0.000 3.614
0.000 0.000 16.197
0.000 0.000 8.007
0.000 0.000 11.804
1.876 0.000 1.933
0.000 0.000 5.976
1.876 0.000 7.972
0.000 0.000 9.905
0.000 1.876 1.933
0.000 0.000 13.834
0.000 1.876 7.972

***

Record 4
Eu2AlO | the Alexandria database | PBE | relaxed; energy relative to the elements, uncorrected = -1.32 eV per atom; density of states at the Fermi level = 1.676 states/eV per atom
1.0
1.819 1.050 7.974
-1.819 1.050 7.974
0.000 -2.100 7.974
Eu Al O
2 1 1
Cartesian
0.000 0.000 5.419
0.000 0.000 18.502
0.000 0.000 0.000
0.000 0.000 11.961

***

Record 5
EuAl2Os | the Alexandria database | PBE | relaxed; ΔE_f = -117.4 kJ/mol of formula units; density of states at the Fermi level = 0.396 states/eV per atom
1.0
3.148 0.000 0.000
0.000 3.148 0.000
0.000 0.000 7.588
Eu Al Os
1 2 1
Cartesian
0.000 0.000 0.000
1.574 1.574 2.431
1.574 1.574 5.157
0.000 0.000 3.794

***

Record 6
Eu3AlP | the Alexandria database | PBE | relaxed; ΔE_f = -193.5 kJ/mol of formula units; density of states at the Fermi level = 6.074 states/eV per atom
1.0
5.603 0.000 0.000
0.000 5.603 0.000
0.000 0.000 5.603
Eu Al P
3 1 1
Cartesian
0.000 0.000 2.802
0.000 2.802 0.000
2.802 0.000 0.000
2.802 2.802 2.802
0.000 0.000 0.000